Arrangement P

First-principles (GGA-PBE) data for a geometry-optimized Mn2Al2Cu structure, as listed in Alexandria via LeMat-Bulk.

```
Mn2Al2Cu
1.0
2.955 0.000 0.000
0.000 2.955 0.000
0.000 0.000 15.139
Mn Al Cu
4 4 2
Direct
0.000 0.000 0.000 Mn
0.000 0.000 0.409 Mn
0.500 0.500 0.500 Mn
0.500 0.500 0.909 Mn
0.000 0.000 0.194 Al
0.000 0.000 0.815 Al
0.500 0.500 0.315 Al
0.500 0.500 0.694 Al
0.000 0.000 0.603 Cu
0.500 0.500 0.103 Cu
```

The value obtained for the theoretical density is 5.71 g cm⁻³. The value obtained for the density of states at the Fermi level is 6.3 states/eV/cell. Its total moment is 1.92 μB per formula unit.

Arrangement Q

First-principles (GGA-PBE) data for a geometry-optimized Mn2Al2Cu structure, as listed in Alexandria via LeMat-Bulk.

```
Mn2Al2Cu
1.0
6.934 0.000 0.000
0.000 6.934 0.000
0.000 0.000 2.884
Mn Al Cu
4 4 2
Direct
0.165 0.335 0.000 Mn
0.335 0.835 0.000 Mn
0.665 0.165 0.000 Mn
0.835 0.665 0.000 Mn
0.134 0.634 0.500 Al
0.366 0.134 0.500 Al
0.634 0.866 0.500 Al
0.866 0.366 0.500 Al
0.000 0.000 0.500 Cu
0.500 0.500 0.500 Cu
```

The value obtained for the theoretical density is 5.45 g cm⁻³. The value obtained for the density of states at the Fermi level is 6.6 states/eV/cell. Its total moment is 5.33 μB per formula unit.

What is the most stable structure shown above? It is arrangement P.